Density functional theory data (GGA-PBE) for an optimized crystal structure of TbTcBrO4.

POSCAR file:
```
TbTcBrO4
1.0
6.396 0.148 -0.162
2.258 5.986 -0.162
1.588 1.125 6.667
O Tc Br Tb
8 2 2 2
direct
0.538 0.538 0.212 O
0.462 0.462 0.788 O
0.879 0.515 0.857 O
0.121 0.485 0.143 O
0.485 0.121 0.143 O
0.711 0.711 0.467 O
0.515 0.879 0.857 O
0.289 0.289 0.533 O
0.368 0.368 0.280 Tc
0.632 0.632 0.720 Tc
0.989 0.989 0.755 Br
0.011 0.011 0.245 Br
0.227 0.227 0.895 Tb
0.773 0.773 0.105 Tb
```

Properties
mass density: 5.21 Mg/m³
energy: -100.820 eV per cell
energy relative to the elements, uncorrected: -1987 meV per atom
volume: 18.24 A^3/atom
size of the total moment: 1.006 μB per formula unit